# PBE BaYNi2, relaxed
data_BaYNi2
_chemical_formula_sum 'Ba2 Y2 Ni4'
_cell_length_a 4.047
_cell_length_b 4.055
_cell_length_c 12.634
_cell_angle_alpha 90.00
_cell_angle_beta 90.00
_cell_angle_gamma 90.00
_symmetry_space_group_name_H-M 'A m m 2'
_symmetry_Int_Tables_number 38
loop_
_symmetry_equiv_pos_as_xyz
'x,y,z'
'-x,-y,z'
'-x,y,z'
'x,-y,z'
'x,y+1/2,z+1/2'
'-x,-y+1/2,z+1/2'
'-x,y+1/2,z+1/2'
'x,-y+1/2,z+1/2'
loop_
_atom_site_label
_atom_site_type_symbol
_atom_site_fract_x
_atom_site_fract_y
_atom_site_fract_z
Ba1 Ba 0.000 0.000 0.000
Y1 Y 0.500 0.000 0.734
Ni1 Ni 0.000 0.000 0.279
Ni2 Ni 0.500 0.000 0.378
# energy relative to the elements	-0.101	eV per atom
# offset from the most stable computed form	0.000	eV per atom
# N(E_F)	7.79	states/eV/cell